Entry 1:
GdPuAg after structural relaxation, computed with GGA-PBE.

Geometry as CIF:
```
data_GdPuAg
_chemical_formula_sum 'Gd4 Pu4 Ag4'
_symmetry_space_group_name_H-M 'F -4 3 m'
_symmetry_Int_Tables_number 216
_symmetry_space_group_name_Hall 'F -4 2 3'
_cell_length_a 7.046
_cell_length_b 7.046
_cell_length_c 7.046
_cell_angle_alpha 90.00
_cell_angle_beta 90.00
_cell_angle_gamma 90.00
loop_
_atom_site_label
_atom_site_type_symbol
_atom_site_fract_x
_atom_site_fract_y
_atom_site_fract_z
Gd1 Gd 0.000 0.000 0.000
Pu1 Pu 0.000 0.000 0.500
Ag1 Ag 0.250 0.250 0.250
```

Values from the calculation:
Crystal system ... cubic
Spin magnetization ... 26.7 μB per cell
E_tot ... -6.9650 eV/atom
Energy relative to the lowest polymorph listed for this composition ... 0 kJ/mol of formula units
Density ... 9.67 g cm⁻³
ΔH_f (0 K) ... 0.2368 eV/atom

***

Entry 2:
Zr2Ni3W4C3 after structural relaxation, computed with GGA-PBE.

Geometry as CIF:
```
data_Zr2Ni3W4C3
_chemical_formula_sum 'Zr8 Ni12 W16 C12'
_symmetry_space_group_name_H-M 'C 1 2/c 1'
_symmetry_Int_Tables_number 15
_cell_length_a 9.200
_cell_length_b 5.303
_cell_length_c 13.450
_cell_angle_alpha 90.00
_cell_angle_beta 103.59
_cell_angle_gamma 90.00
loop_
_symmetry_equiv_pos_as_xyz
'x,y,z'
'-x,-y,-z'
'-x,y,-z+1/2'
'x,-y,z+1/2'
'x+1/2,y+1/2,z'
'-x+1/2,-y+1/2,-z'
'-x+1/2,y+1/2,-z+1/2'
'x+1/2,-y+1/2,z+1/2'
loop_
_atom_site_label
_atom_site_type_symbol
_atom_site_fract_x
_atom_site_fract_y
_atom_site_fract_z
Zr1 Zr 0.040 0.082 0.379
Ni1 Ni 0.000 0.428 0.750
Ni2 Ni 0.242 0.155 0.752
W1 W 0.112 0.406 0.586
W2 W 0.226 0.421 0.914
C1 C 0.083 0.248 0.000
C2 C 0.250 0.250 0.500
```

Values from the calculation:
Crystal system ... monoclinic
Spin magnetization ... 0.0 μB per cell
E_tot ... -9.6795 eV/atom
Density ... 11.77 g cm⁻³

***

Entry 3:
TaFeNiAs after structural relaxation, computed with GGA-PBE.

Geometry as CIF:
```
data_TaFeNiAs
_chemical_formula_sum 'Ta4 Fe4 Ni4 As4'
_symmetry_space_group_name_H-M 'F -4 3 m'
_symmetry_Int_Tables_number 216
_symmetry_space_group_name_Hall 'F -4 2 3'
_cell_length_a 5.972
_cell_length_b 5.972
_cell_length_c 5.972
_cell_angle_alpha 90.00
_cell_angle_beta 90.00
_cell_angle_gamma 90.00
loop_
_atom_site_label
_atom_site_type_symbol
_atom_site_fract_x
_atom_site_fract_y
_atom_site_fract_z
Ta1 Ta 0.000 0.000 0.000
Fe1 Fe 0.250 0.250 0.750
Ni1 Ni 0.250 0.250 0.250
As1 As 0.000 0.000 0.500
```

Values from the calculation:
Crystal system ... cubic
Spin magnetization ... 0.0 μB per cell
E_tot ... -7.6037 eV/atom
Energy relative to the lowest polymorph listed for this composition ... 0 kJ/mol of formula units
Density ... 11.55 g cm⁻³